[1]
First-principles (GGA-PBE) data for crystalline LaAlRe at its relaxed geometry, as listed in the Alexandria database.

CIF file:
```
data_LaAlRe
_space_group_name_H-M_alt 'P 1'
_space_group_IT_number 1
_cell_length_a 2.975
_cell_length_b 2.975
_cell_length_c 7.742
_cell_angle_alpha 90.00
_cell_angle_beta 90.00
_cell_angle_gamma 120.00
loop_
_space_group_symop_operation_xyz
'x,y,z'
loop_
_atom_site_label
_atom_site_type_symbol
_atom_site_fract_x
_atom_site_fract_y
_atom_site_fract_z
La1 La 0.000 0.000 0.000
Al1 Al 0.333 0.667 0.621
Re1 Re 0.667 0.333 0.358
```

Properties
Polymorph energy (0 for the lowest one): 617 meV/atom
DOS(E_F): 3.45 states/eV/cell
Symmetry: P3m1 (156)
Total magnetization: 0.00 μB/cell



[2]
First-principles (GGA-PBE) data for crystalline AuIBr at its relaxed geometry, as listed in the Alexandria database.

CIF file:
```
data_AuIBr
_space_group_name_H-M_alt 'P 1'
_space_group_IT_number 1
_cell_length_a 4.054
_cell_length_b 7.713
_cell_length_c 7.831
_cell_angle_alpha 64.24
_cell_angle_beta 75.14
_cell_angle_gamma 89.98
loop_
_space_group_symop_operation_xyz
'x,y,z'
loop_
_atom_site_label
_atom_site_type_symbol
_atom_site_fract_x
_atom_site_fract_y
_atom_site_fract_z
Au1 Au 0.000 0.000 0.000
Au2 Au 0.437 0.151 0.127
I1 I 0.570 0.835 0.860
I2 I 0.878 0.301 0.247
Br1 Br 0.154 0.321 0.696
Br2 Br 0.827 0.726 0.345
```

Properties
Polymorph energy (0 for the lowest one): 0 meV/atom
DOS(E_F): 1.13 states/eV/cell
Symmetry: P1 (1)
Total magnetization: 0.00 μB/cell
Formation energy without anion corrections: 0.016 eV/atom



[3]
First-principles (GGA-PBE) data for crystalline SiPF at its relaxed geometry, as listed in the Alexandria database.

CIF file:
```
data_SiPF
_space_group_name_H-M_alt 'P 1'
_space_group_IT_number 1
_cell_length_a 3.517
_cell_length_b 6.057
_cell_length_c 5.860
_cell_angle_alpha 90.00
_cell_angle_beta 90.00
_cell_angle_gamma 90.00
loop_
_space_group_symop_operation_xyz
'x,y,z'
loop_
_atom_site_label
_atom_site_type_symbol
_atom_site_fract_x
_atom_site_fract_y
_atom_site_fract_z
Si1 Si 0.000 0.076 0.000
Si2 Si 0.500 0.924 0.500
P1 P 0.000 0.129 0.616
P2 P 0.500 0.871 0.116
F1 F 0.000 0.327 0.098
F2 F 0.500 0.673 0.598
```

Properties
Polymorph energy (0 for the lowest one): 12 meV/atom
DOS(E_F): 0.00 states/eV/cell
Symmetry: Pmn2_1 (31)
Total magnetization: 0.00 μB/cell
Formation energy without anion corrections: -1.325 eV/atom